No. 1
Computed, not measured: a relaxed structure of Ag12P3Cl5 at the GGA-PBE level of DFT.

Computed properties:
The calculation puts the spin magnetization at 0.000 μB/atom. As for the density of states at the Fermi level: 0.2685 states/eV/atom. Its total energy is -3.02 eV per atom.

Cell lengths 13.323, 13.323, 13.323 Å; angles 109.47, 109.47, 109.47 degrees
Positions (direct):
Ag1 0.059 0.632 0.384
Ag2 0.059 0.928 0.675
Ag3 0.072 0.248 0.132
Ag4 0.072 0.325 0.941
Ag5 0.116 0.748 0.675
Ag6 0.116 0.868 0.441
Ag7 0.132 0.072 0.248
Ag8 0.132 0.559 0.884
Ag9 0.175 0.248 0.616
Ag10 0.175 0.428 0.559
Ag11 0.248 0.132 0.072
Ag12 0.248 0.616 0.175
Ag13 0.252 0.325 0.884
Ag14 0.252 0.428 0.368
Ag15 0.325 0.884 0.252
Ag16 0.325 0.941 0.072
Ag17 0.368 0.252 0.428
Ag18 0.368 0.616 0.941
Ag19 0.384 0.059 0.632
Ag20 0.384 0.825 0.752
Ag21 0.428 0.368 0.252
Ag22 0.428 0.559 0.175
Ag23 0.441 0.116 0.868
Ag24 0.441 0.825 0.572
Ag25 0.559 0.175 0.428
Ag26 0.559 0.884 0.132
Ag27 0.572 0.441 0.825
Ag28 0.572 0.632 0.748
Ag29 0.616 0.175 0.248
Ag30 0.616 0.941 0.368
Ag31 0.632 0.384 0.059
Ag32 0.632 0.748 0.572
Ag33 0.675 0.059 0.928
Ag34 0.675 0.116 0.748
Ag35 0.748 0.572 0.632
Ag36 0.748 0.675 0.116
Ag37 0.752 0.384 0.825
Ag38 0.752 0.868 0.928
Ag39 0.825 0.572 0.441
Ag40 0.825 0.752 0.384
Ag41 0.868 0.441 0.116
Ag42 0.868 0.928 0.752
Ag43 0.884 0.132 0.559
Ag44 0.884 0.252 0.325
Ag45 0.928 0.675 0.059
Ag46 0.928 0.752 0.868
Ag47 0.941 0.072 0.325
Ag48 0.941 0.368 0.616
P1 0.125 0.250 0.375
P2 0.125 0.375 0.750
P3 0.250 0.375 0.125
P4 0.250 0.875 0.625
P5 0.375 0.125 0.250
P6 0.375 0.750 0.125
P7 0.625 0.250 0.875
P8 0.625 0.875 0.750
P9 0.750 0.125 0.375
P10 0.750 0.625 0.875
P11 0.875 0.625 0.250
P12 0.875 0.750 0.625
Cl1 0.000 0.000 0.000
Cl2 0.000 0.000 0.500
Cl3 0.000 0.500 0.000
Cl4 0.000 0.500 0.500
Cl5 0.125 0.750 0.875
Cl6 0.125 0.875 0.250
Cl7 0.250 0.125 0.875
Cl8 0.250 0.625 0.375
Cl9 0.375 0.250 0.625
Cl10 0.375 0.625 0.750
Cl11 0.500 0.000 0.000
Cl12 0.500 0.000 0.500
Cl13 0.500 0.500 0.000
Cl14 0.500 0.500 0.500
Cl15 0.625 0.375 0.250
Cl16 0.625 0.750 0.375
Cl17 0.750 0.375 0.625
Cl18 0.750 0.875 0.125
Cl19 0.875 0.125 0.750
Cl20 0.875 0.250 0.125

No. 2
Computed, not measured: a relaxed structure of TiBe2SiC at the GGA-PBE level of DFT.

Computed properties:
The calculation puts the spin magnetization at 0.000 μB/atom. As for the density of states at the Fermi level: 0.6845 states/eV/atom. Its total energy is -4.32 eV per atom.

Cell lengths 4.505, 4.505, 3.897 Å; angles 90.00, 90.00, 90.00 degrees
Positions (direct):
Ti1 0.000 0.000 0.000
Be1 0.000 0.500 0.000
Be2 0.500 0.000 0.000
Si1 0.500 0.500 0.500
C1 0.000 0.000 0.500

No. 3
Computed, not measured: a relaxed structure of In2TcMo at the GGA-PBE level of DFT.

Computed properties:
The value obtained for the formation energy is 0.6 eV/f.u. The value obtained for the offset from the most stable computed form is 0.0000 eV per atom. The calculation puts the spin magnetization at 0.000 μB/atom. As for the density of states at the Fermi level: 0.9342 states/eV/atom. Its total energy is -6.52 eV per atom.

Cell lengths 3.097, 3.097, 8.150 Å; angles 90.00, 90.00, 90.00 degrees
Positions (direct):
In1 0.000 0.000 0.000
In2 0.500 0.500 0.337
Tc1 0.500 0.500 0.759
Mo1 0.000 0.000 0.588

No. 4
Computed, not measured: a relaxed structure of Y5GaCu2 at the GGA-PBE level of DFT.

Computed properties:
The value obtained for the formation energy is -2.2 eV/f.u. The calculation puts the spin magnetization at 0.000 μB/atom. As for the density of states at the Fermi level: 1.3648 states/eV/atom. Its total energy is -5.72 eV per atom.

Cell lengths 8.536, 8.536, 8.536 Å; angles 125.84, 125.84, 80.14 degrees
Positions (direct):
Y1 0.000 0.000 0.000
Y2 0.014 0.514 0.819
Y3 0.195 0.014 0.500
Y4 0.305 0.805 0.819
Y5 0.486 0.305 0.500
Y6 0.500 0.500 0.000
Y7 0.514 0.695 0.500
Y8 0.695 0.195 0.181
Y9 0.805 0.986 0.500
Y10 0.986 0.486 0.181
Ga1 0.250 0.250 0.000
Ga2 0.750 0.750 0.000
Cu1 0.126 0.374 0.500
Cu2 0.374 0.874 0.248
Cu3 0.626 0.126 0.752
Cu4 0.874 0.626 0.500

No. 5
Computed, not measured: a relaxed structure of PRuI2 at the GGA-PBE level of DFT.

Computed properties:
The value obtained for the offset from the most stable computed form is 0.0000 eV per atom. The calculation puts the spin magnetization at 0.000 μB/atom. As for the density of states at the Fermi level: 1.1010 states/eV/atom. Its total energy is -3.50 eV per atom.

Cell lengths 6.543, 6.543, 6.543 Å; angles 113.76, 113.76, 101.20 degrees
Positions (direct):
P1 0.000 0.000 0.000
P2 0.750 0.250 0.500
Ru1 0.250 0.750 0.500
Ru2 0.500 0.500 0.000
I1 0.159 0.625 0.034
I2 0.375 0.409 0.534
I3 0.591 0.125 0.966
I4 0.875 0.841 0.466

No. 6
Computed, not measured: a relaxed structure of CsKPS2 at the GGA-PBE level of DFT.

Computed properties:
The value obtained for the offset from the most stable computed form is 1.1296 eV per atom. The calculation puts the spin magnetization at 0.677 μB/atom. As for the density of states at the Fermi level: 0.6673 states/eV/atom. Its total energy is -2.39 eV per atom.

Cell lengths 6.018, 6.018, 5.963 Å; angles 90.00, 90.00, 90.00 degrees
Positions (direct):
Cs1 0.000 0.000 0.000
K1 0.500 0.500 0.500
P1 0.000 0.000 0.500
S1 0.000 0.500 0.000
S2 0.500 0.000 0.000

No. 7
Computed, not measured: a relaxed structure of YScSe3 at the GGA-PBE level of DFT.

Computed properties:
The calculation puts the spin magnetization at 0.000 μB/atom. As for the density of states at the Fermi level: 0.0000 states/eV/atom. Its total energy is -6.32 eV per atom.

Cell lengths 4.446, 4.446, 16.578 Å; angles 90.00, 90.00, 120.00 degrees
Positions (direct):
Y1 0.000 0.000 0.000
Y2 0.000 0.000 0.500
Sc1 0.333 0.667 0.250
Sc2 0.667 0.333 0.750
Se1 0.000 0.000 0.250
Se2 0.000 0.000 0.750
Se3 0.333 0.667 0.085
Se4 0.333 0.667 0.415
Se5 0.667 0.333 0.585
Se6 0.667 0.333 0.915

No. 8
Computed, not measured: a relaxed structure of Pr2NdTh at the GGA-PBE level of DFT.

Computed properties:
The value obtained for the formation energy is 0.2 eV/f.u. The value obtained for the offset from the most stable computed form is 0.0223 eV per atom. The calculation puts the spin magnetization at 0.000 μB/atom. As for the density of states at the Fermi level: 1.6435 states/eV/atom. Its total energy is -5.38 eV per atom.

Cell lengths 12.221, 12.221, 12.221 Å; angles 17.25, 17.25, 17.25 degrees
Positions (direct):
Pr1 0.000 0.000 0.000
Pr2 0.165 0.165 0.165
Nd1 0.582 0.582 0.582
Th1 0.749 0.749 0.749

Among the records above, which one has the highest spin magnetization? CsKPS2